<w>
Below is a relaxed structure of CsBa3Cd, with properties calculated at the PBE level.

```
CsBa3Cd
1.0
6.5521 0.0000 0.0000
0.0000 6.5521 0.0000
0.0000 0.0000 6.5521
Cs Ba Cd
1 3 1
Cartesian
0.0000 0.0000 0.0000 Cs
0.0000 0.0000 3.2761 Ba
0.0000 3.2761 0.0000 Ba
3.2761 0.0000 0.0000 Ba
3.2761 3.2761 3.2761 Cd
```

---

<x>
Below is a relaxed structure of CsBa3Cd, with properties calculated at the PBE level.

```
CsBa3Cd
1.0
6.9545 0.0000 0.0000
0.0000 6.9545 0.0000
0.0000 0.0000 6.9545
Cs Ba Cd
1 3 1
Cartesian
0.0000 0.0000 0.0000 Cs
0.0000 3.4772 3.4772 Ba
3.4772 0.0000 3.4772 Ba
3.4772 3.4772 0.0000 Ba
3.4772 3.4772 3.4772 Cd
```

---

On energetic grounds, <x> is preferred over the next structure by 66.6 kJ/mol of atoms.

---

<w>
Below is a relaxed structure of Cs2BaCd2, with properties calculated at the PBE level.

```
Cs2BaCd2
1.0
5.5575 0.0000 0.0000
0.0000 5.5575 0.0000
0.0000 0.0000 17.0219
Cs Ba Cd
4 2 4
Cartesian
0.0000 2.7788 4.2555 Cs
0.0000 2.7788 12.7664 Cs
2.7788 0.0000 4.2555 Cs
2.7788 0.0000 12.7664 Cs
0.0000 0.0000 0.0000 Ba
2.7788 2.7788 8.5109 Ba
0.0000 0.0000 7.0809 Cd
0.0000 0.0000 9.9410 Cd
2.7788 2.7788 1.4301 Cd
2.7788 2.7788 15.5918 Cd
```

---

<x>
Below is a relaxed structure of Cs2BaCd2, with properties calculated at the PBE level.

```
Cs2BaCd2
1.0
10.8158 0.0000 0.0000
0.0000 10.8158 0.0000
0.0000 0.0000 4.2837
Cs Ba Cd
4 2 4
Cartesian
1.3727 4.0352 0.0000 Cs
4.0352 9.4432 0.0000 Cs
6.7806 1.3727 0.0000 Cs
9.4432 6.7806 0.0000 Cs
0.0000 0.0000 0.0000 Ba
5.4079 5.4079 0.0000 Ba
1.9107 7.3186 2.1418 Cd
3.4972 1.9107 2.1418 Cd
7.3186 8.9052 2.1418 Cd
8.9052 3.4972 2.1418 Cd
```

---

On energetic grounds, <w> is preferred over the next structure by 5.1 kJ/mol of atoms.

---

<w>
Below is a relaxed structure of BaCd3Cu, with properties calculated at the PBE level.

```
BaCd3Cu
1.0
6.7628 0.0000 0.0000
0.0000 6.7628 0.0000
0.0000 0.0000 6.7628
Ba Cd Cu
1 3 1
Cartesian
0.0000 0.0000 0.0000 Ba
0.0000 0.0000 3.3814 Cd
0.0000 3.3814 0.0000 Cd
3.3814 0.0000 0.0000 Cd
3.3814 3.3814 3.3814 Cu
```

---

<x>
Below is a relaxed structure of BaCd3Cu, with properties calculated at the PBE level.

```
BaCd3Cu
1.0
5.1767 0.0000 0.0000
0.0000 5.1767 0.0000
0.0000 0.0000 5.1767
Ba Cd Cu
1 3 1
Cartesian
0.0000 0.0000 0.0000 Ba
0.0000 2.5883 2.5883 Cd
2.5883 0.0000 2.5883 Cd
2.5883 2.5883 0.0000 Cd
2.5883 2.5883 2.5883 Cu
```

---

On energetic grounds, <x> is preferred over the next structure by 104.9 kJ/mol of atoms.